Record 1
The following is a GGA-PBE calculation of a relaxed structure of HfSbO3, from OQMD via LeMat-Bulk.

Mass density ... 8.6 g/cm3
Volume ... 13.40 Å³ per atom
Energy ... -159.34 eV/cell

Structure (POSCAR):
```
HfSbO3
1.0
-4.030 3.415 2.083
-3.647 -4.440 0.222
2.515 -1.685 7.629
Hf Sb O
4 4 12
Cartesian
-0.566 -3.062 3.925
-1.823 -2.220 0.111
-2.015 1.707 1.042
-0.757 0.865 4.856
-6.918 -1.418 4.176
-1.956 -1.911 6.846
-3.206 -0.799 3.088
1.757 -1.292 5.758
-6.285 -0.867 2.028
-2.684 0.056 5.166
-0.226 0.518 6.812
-3.858 0.842 1.605
-1.284 -2.557 2.066
-1.303 -3.552 8.329
1.123 -1.843 7.906
-5.111 -1.653 5.588
-0.051 -1.057 4.345
-4.936 -3.228 3.122
-3.878 -0.152 7.868
-2.477 -2.766 4.768
```

Record 2
The following is a GGA-PBE calculation of a relaxed structure of LuHfIr2, from OQMD via LeMat-Bulk.

Mass density ... 17.4 g/cm3
Volume ... 17.64 Å³ per atom
Energy ... -33.58 eV/cell

Structure (POSCAR):
```
LuHfIr2
1.0
0.753 2.475 3.850
-0.759 4.576 0.001
-3.583 1.756 2.365
Ir Lu Hf
2 1 1
Cartesian
0.000 0.000 0.000
-0.897 2.202 1.554
-1.794 4.404 3.108
-2.692 6.605 4.663
```

Record 3
The following is a GGA-PBE calculation of a relaxed structure of ScCdGa2, from OQMD via LeMat-Bulk.

Mass density ... 6.2 g/cm3
Volume ... 19.72 Å³ per atom
Energy ... -13.81 eV/cell

Structure (POSCAR):
```
ScCdGa2
1.0
0.000 3.404 3.404
3.404 0.000 3.404
3.404 3.404 0.000
Cd Ga Sc
1 2 1
Cartesian
5.106 5.106 5.106
3.404 3.404 3.404
1.702 1.702 1.702
0.000 0.000 0.000
```

Record 4
The following is a GGA-PBE calculation of a relaxed structure of GdPd, from OQMD via LeMat-Bulk.

Mass density ... 6.8 g/cm3
Volume ... 32.08 Å³ per atom
Energy ... -10.05 eV/cell

Structure (POSCAR):
```
GdPd
1.0
0.000 3.177 3.177
3.177 0.000 3.177
3.177 3.177 0.000
Gd Pd
1 1
Cartesian
0.000 0.000 0.000
1.589 1.589 1.589
```

The evaluated total magnetization for the records listed, in turn: 0.0 0.0 0.0 0.4 Bohr magnetons per cell.